[1]
Material: HfGa2Fe
Method: DFT, GGA-PBE
State: optimized geometry

Total moment = 0.425 μB/atom
DFT total energy = -6.331 eV/atom
DFT formation energy = -0.213 eV/atom
Calculated density = 10.082 g/cm3

a b c (Å): 3.0342 3.0342 6.6869
angles (deg): 90.00 90.00 90.00
Closest atoms and distances in Å follow each position.
Fractional coordinates of all 4 atoms:
Hf 0.0000 0.0000 0.0000  8 Ga 2.91, 4 Hf 3.03
Ga 0.5000 0.5000 0.2935  4 Fe 2.55, 1 Ga 2.76
Ga 0.5000 0.5000 0.7065  4 Fe 2.55, 1 Ga 2.76
Fe 0.0000 0.0000 0.5000  8 Ga 2.55


[2]
Material: Hf6GaFe
Method: DFT, GGA-PBE
State: optimized geometry

Total moment = 0.000 μB/atom
DFT total energy = -8.732 eV/atom
DFT formation energy = 0.169 eV/atom
Calculated density = 11.733 g/cm3

a b c (Å): 6.0005 6.0005 6.0233
angles (deg): 102.85 102.85 119.52
Closest atoms and distances in Å follow each position.
Fractional coordinates of all 8 atoms:
Hf 0.0344 0.4336 0.2408  1 Fe 2.56, 1 Ga 2.66
Hf 0.2401 0.2401 0.7652  1 Fe 2.43, 1 Ga 2.69
Hf 0.4336 0.0344 0.2408  1 Fe 2.56, 1 Ga 2.66
Hf 0.5664 0.9656 0.7592  1 Fe 2.56, 1 Ga 2.66
Hf 0.7599 0.7599 0.2348  1 Fe 2.43, 1 Ga 2.69
Hf 0.9656 0.5664 0.7592  1 Fe 2.56, 1 Ga 2.66
Ga 0.5000 0.5000 0.5000  6 Hf 2.66-2.69
Fe 0.0000 0.0000 0.0000  6 Hf 2.43-2.56


[3]
Material: Hf2Ga2Fe
Method: DFT, GGA-PBE
State: optimized geometry

Total moment = 0.000 μB/atom
DFT total energy = -7.061 eV/atom
DFT formation energy = -0.176 eV/atom
Calculated density = 9.849 g/cm3

a b c (Å): 6.9808 6.9808 6.9808
angles (deg): 130.14 70.92 133.02
Closest atoms and distances in Å follow each position.
Fractional coordinates of all 10 atoms:
Hf 0.1174 0.2086 0.3260  2 Fe 2.58, 5 Ga 2.82-2.87
Hf 0.3826 0.7086 0.0912  2 Fe 2.58, 5 Ga 2.82-2.87
Hf 0.6174 0.2914 0.9088  2 Fe 2.58, 5 Ga 2.82-2.87
Hf 0.8826 0.7914 0.6740  2 Fe 2.58, 5 Ga 2.82-2.87
Ga 0.1328 0.7239 0.8567  2 Fe 2.44
Ga 0.3672 0.2239 0.5910  2 Fe 2.44
Ga 0.6328 0.7761 0.4090  2 Fe 2.44
Ga 0.8672 0.2761 0.1433  2 Fe 2.44
Fe 0.2500 0.7500 0.5000  4 Ga 2.44, 4 Hf 2.58
Fe 0.7500 0.2500 0.5000  4 Ga 2.44, 4 Hf 2.58


[4]
Material: HfGa2Fe
Method: DFT, GGA-PBE
State: optimized geometry

Total moment = 0.565 μB/atom
DFT total energy = -6.391 eV/atom
DFT formation energy = -0.274 eV/atom
Calculated density = 9.794 g/cm3

a b c (Å): 3.9455 3.9455 4.0709
angles (deg): 90.00 90.00 90.00
Closest atoms and distances in Å follow each position.
Fractional coordinates of all 4 atoms:
Hf 0.0000 0.0000 0.0000  4 Fe 2.79, 8 Ga 2.83
Ga 0.0000 0.5000 0.5000  4 Ga 2.79, 4 Fe 2.83, 4 Hf 2.83
Ga 0.5000 0.0000 0.5000  4 Ga 2.79, 4 Fe 2.83, 4 Hf 2.83
Fe 0.5000 0.5000 0.0000  4 Hf 2.79, 8 Ga 2.83


[5]
Material: HfGa2Fe2
Method: DFT, GGA-PBE
State: optimized geometry

Energy above the most stable polymorph in this dataset = 0.66 eV/f.u.
Total moment = 0.229 μB/atom
DFT total energy = -6.648 eV/atom
DFT formation energy = -0.061 eV/atom
Calculated density = 9.505 g/cm3

a b c (Å): 5.5163 5.5163 5.5163
angles (deg): 137.74 137.74 61.30
Closest atoms and distances in Å follow each position.
Fractional coordinates of all 5 atoms:
Hf 0.0000 0.0000 0.0000  8 Fe 2.99, 8 Ga 3.10
Ga 0.2500 0.7500 0.5000  4 Fe 2.41
Ga 0.7500 0.2500 0.5000  4 Fe 2.41
Fe 0.3936 0.3936 0.0000  1 Fe 2.02
Fe 0.6064 0.6064 0.0000  1 Fe 2.02


[6]
Material: HfGa2Fe
Method: DFT, GGA-PBE
State: optimized geometry

Total moment = 0.339 μB/atom
DFT total energy = -6.310 eV/atom
DFT formation energy = -0.193 eV/atom
Calculated density = 9.684 g/cm3

a b c (Å): 5.0357 5.0357 5.0357
angles (deg): 47.76 47.76 47.76
Closest atoms and distances in Å follow each position.
Fractional coordinates of all 4 atoms:
Hf 0.0000 0.0000 0.0000  8 Ga 2.78-2.98
Ga 0.2232 0.2232 0.2232  3 Fe 2.47
Ga 0.7768 0.7768 0.7768  3 Fe 2.47
Fe 0.5000 0.5000 0.5000  6 Ga 2.47


[7]
Material: Hf6GaFe2
Method: DFT, GGA-PBE
State: optimized geometry

Total moment = 0.000 μB/atom
DFT total energy = -9.070 eV/atom
DFT formation energy = -0.218 eV/atom
Calculated density = 12.116 g/cm3

a b c (Å): 7.6703 7.6703 7.6703
angles (deg): 113.82 112.56 102.26
Closest atoms and distances in Å follow each position.
Fractional coordinates of all 18 atoms:
Hf 0.0325 0.2331 0.7994  1 Fe 2.50
Hf 0.1852 0.2997 0.4849  3 Fe 2.64-2.80
Hf 0.1852 0.7003 0.8856  3 Fe 2.64-2.80
Hf 0.3298 0.0219 0.6921  3 Fe 2.48-2.71
Hf 0.3298 0.6377 0.3079  3 Fe 2.48-2.71
Hf 0.4337 0.2331 0.2006  1 Fe 2.50
Hf 0.5663 0.7669 0.7994  1 Fe 2.50
Hf 0.6702 0.3623 0.6921  3 Fe 2.48-2.71
Hf 0.6702 0.9781 0.3079  3 Fe 2.48-2.71
Hf 0.8148 0.2997 0.1144  3 Fe 2.64-2.80
Hf 0.8148 0.7003 0.5151  3 Fe 2.64-2.80
Hf 0.9675 0.7669 0.2006  1 Fe 2.50
Ga 0.0000 0.0000 0.0000  2 Fe 2.81, 8 Hf 2.82-2.96
Ga 0.5000 0.5000 0.0000  12 Hf 3.05-3.16
Fe 0.1343 0.6343 0.5000  6 Hf 2.48-2.64, 1 Fe 2.59
Fe 0.3303 0.0000 0.3303  8 Hf 2.50-2.80
Fe 0.6697 0.0000 0.6697  8 Hf 2.50-2.80
Fe 0.8657 0.3657 0.5000  6 Hf 2.48-2.64, 1 Fe 2.59


[8]
Material: Hf6Ga2Fe
Method: DFT, GGA-PBE
State: optimized geometry

Energy above the most stable polymorph in this dataset = 0.00 eV/f.u.
Total moment = 0.000 μB/atom
DFT total energy = -8.600 eV/atom
DFT formation energy = -0.352 eV/atom
Calculated density = 12.125 g/cm3

a b c (Å): 7.7841 7.7841 3.3047
angles (deg): 90.00 90.00 120.00
Closest atoms and distances in Å follow each position.
Fractional coordinates of all 9 atoms:
Hf 0.0000 0.2498 0.0000  2 Fe 2.55
Hf 0.0000 0.6023 0.5000  4 Ga 2.90, 1 Fe 3.10, 6 Hf 3.17-3.20
Hf 0.2498 0.0000 0.0000  2 Fe 2.55
Hf 0.3977 0.3977 0.5000  4 Ga 2.90, 1 Fe 3.10, 6 Hf 3.17-3.20
Hf 0.6023 0.0000 0.5000  4 Ga 2.90, 1 Fe 3.10, 6 Hf 3.17-3.20
Hf 0.7502 0.7502 0.0000  2 Fe 2.55
Ga 0.3333 0.6667 0.0000  9 Hf 2.90-2.97
Ga 0.6667 0.3333 0.0000  9 Hf 2.90-2.97
Fe 0.0000 0.0000 0.5000  6 Hf 2.55


Q: What is the total moment in the sixth record?
A: 0.339 μB/atom


Q: Look up the calculated density of the second one.
A: 11.733 g/cm3


Please write out number 1 again, unchanged.
Material: HfGa2Fe
Method: DFT, GGA-PBE
State: optimized geometry

Total moment = 0.425 μB/atom
DFT total energy = -6.331 eV/atom
DFT formation energy = -0.213 eV/atom
Calculated density = 10.082 g/cm3

a b c (Å): 3.0342 3.0342 6.6869
angles (deg): 90.00 90.00 90.00
Closest atoms and distances in Å follow each position.
Fractional coordinates of all 4 atoms:
Hf 0.0000 0.0000 0.0000  8 Ga 2.91, 4 Hf 3.03
Ga 0.5000 0.5000 0.2935  4 Fe 2.55, 1 Ga 2.76
Ga 0.5000 0.5000 0.7065  4 Fe 2.55, 1 Ga 2.76
Fe 0.0000 0.0000 0.5000  8 Ga 2.55


Q: What is the DFT total energy in the first record?
A: -6.331 eV/atom